# Pr6AuSe3Cl2

Pr6AuSe3Cl2 after structural relaxation (PBE, Alexandria via LeMat-Bulk).

Output
Crystal system: monoclinic
Magnetization: 0.000 μB/f.u.
DOS(E_F): 7.03 states/eV/f.u.
E_form (uncorrected): -1533 meV per atom

Unit cell a=7.3010 b=7.3010 c=7.4472 alpha=99.38 beta=99.38 gamma=119.75
Atoms (fractional coordinates):
Pr (0.0860, 0.4160, 0.7565)
Pr (0.2459, 0.2459, 0.2435)
Pr (0.4160, 0.0860, 0.7565)
Pr (0.5840, 0.9140, 0.2434)
Pr (0.7541, 0.7541, 0.7565)
Pr (0.9140, 0.5840, 0.2434)
Au (0.0000, 0.0000, 0.5000)
Se (0.1670, 0.8330, 0.0000)
Se (0.5000, 0.5000, 0.0000)
Se (0.8330, 0.1670, 0.0000)
Cl (0.3334, 0.6666, 0.5000)
Cl (0.6666, 0.3334, 0.5000)